A plane-wave DFT calculation with PBE was carried out for an optimized crystal structure of GdTl2Pd.

```
GdTl2Pd
1.0
-4.1798 -2.8296 -0.5291
-2.2120 -2.0472 4.0832
-4.4782 1.7623 1.6116
Tl Gd Pd
2 1 1
Cartesian
-2.7175 -0.7786 1.2914
-8.1525 -2.3359 3.8743
0.0000 0.0000 0.0000
-5.4350 -1.5573 2.5829
```

Results
DOS(E_F): 3.29 states/eV/f.u.
total energy: -25.25 eV/cell
DFT formation energy: -311 meV/atom
ρ: 12.080 g cm⁻³



A plane-wave DFT calculation with PBE was carried out for an optimized crystal structure of AcTb3Dy12.

```
AcTb3Dy12
1.0
5.0485 0.0000 0.0000
0.0000 5.0485 0.0000
0.0000 0.0000 20.2109
Ac Tb Dy
1 3 12
Cartesian
0.0000 0.0000 0.0000
0.0000 0.0000 5.1104
0.0000 0.0000 10.1055
0.0000 0.0000 15.1006
2.5243 2.5243 0.0000
2.5243 2.5243 5.1362
2.5243 2.5243 10.1055
2.5243 2.5243 15.0747
2.5243 0.0000 2.6433
2.5243 0.0000 7.6163
2.5243 0.0000 12.5947
2.5243 0.0000 17.5676
0.0000 2.5243 2.6433
0.0000 2.5243 7.6163
0.0000 2.5243 12.5947
0.0000 2.5243 17.5676
```

Results
DOS(E_F): 21.97 states/eV/f.u.
total energy: -72.74 eV/cell
DFT formation energy: 30 meV/atom
ρ: 8.555 g cm⁻³



A plane-wave DFT calculation with PBE was carried out for an optimized crystal structure of ThPaCo.

```
ThPaCo
1.0
-3.9353 0.9841 -1.9856
-0.5460 -4.1438 -0.9717
-1.4881 1.5466 3.7158
Pa Co Th
1 1 1
Cartesian
-0.6566 0.1642 -0.3313
-1.5152 -2.0832 0.2602
-3.7975 0.3058 0.8296
```

Results
DOS(E_F): 4.49 states/eV/f.u.
total energy: -23.99 eV/cell
DFT formation energy: 10 meV/atom
ρ: 12.036 g cm⁻³
E above lowest polymorph: 0.57 eV per formula unit



A plane-wave DFT calculation with PBE was carried out for an optimized crystal structure of TaMo5.

```
TaMo5
1.0
-0.8970 -4.8833 -2.4135
-0.5000 -1.9089 4.0482
-3.5739 1.7134 -2.1385
Mo Ta
5 1
Cartesian
-0.0030 -0.0165 -0.0082
-2.6974 -0.3007 -0.4750
-1.8236 -2.3292 1.1815
-0.4498 -2.4489 -1.2103
-3.1442 -2.7330 -1.6771
-2.2721 -4.7709 -0.0253
```

Results
DOS(E_F): 3.52 states/eV/f.u.
total energy: -66.54 eV/cell
DFT formation energy: -89 meV/atom
ρ: 11.314 g cm⁻³
E above lowest polymorph: 0.12 eV per formula unit



Number 1: M_tot 7.07 μB/cell. Number 2: M_tot 0.00 μB/cell. Number 3: M_tot 0.00 μB/cell. Number 4: M_tot 0.00 μB/cell.